Ca8Ag2Hg | Alexandria | GGA-PBE | optimized geometry; final energy = -24.44 eV for the cell shown; excess energy over the best structure of this formula in the dataset = 0 meV per atom; space group = No. 12; Fermi-level density of states = 9.818 states/eV/f.u.
1.0
5.250 0.000 0.000
0.000 7.584 0.167
-2.625 -3.048 9.000
Ca Ag Hg
8 2 1
direct
0.406 0.543 0.811
0.669 0.967 0.338
0.797 0.684 0.594
0.968 0.213 0.936
0.203 0.316 0.406
0.331 0.033 0.662
0.594 0.457 0.189
0.032 0.787 0.064
0.815 0.294 0.631
0.185 0.706 0.369
0.500 0.000 0.000

---

MnZn2Os | Alexandria | GGA-PBE | optimized geometry; final energy = -22.30 eV for the cell shown; excess energy over the best structure of this formula in the dataset = 130 meV per atom; space group = No. 44; Fermi-level density of states = 2.526 states/eV/f.u.
1.0
-2.283 4.353 -0.595
-3.189 1.258 3.573
4.726 -1.193 -0.872
Mn Os Zn
1 1 2
direct
0.497 0.497 0.000
0.255 0.755 0.500
0.996 0.996 0.000
0.752 0.252 0.500

---

CuRh3Br | Alexandria | GGA-PBE | optimized geometry; formation energy without anion corrections = 1.1456 eV per atom; final energy = -22.10 eV for the cell shown; excess energy over the best structure of this formula in the dataset = 0 meV per atom; space group = No. 221; Fermi-level density of states = 6.664 states/eV/f.u.
1.0
4.571 0.000 0.000
0.000 4.571 0.000
0.000 0.000 4.571
Rh Cu Br
3 1 1
direct
0.000 0.500 0.000
0.000 0.000 0.500
0.500 0.000 0.000
0.500 0.500 0.500
0.000 0.000 0.000

---

NaFeSi | Alexandria | GGA-PBE | optimized geometry; formation energy without anion corrections = -0.0518 eV per atom; final energy = -30.72 eV for the cell shown; space group = No. 11; Fermi-level density of states = 2.042 states/eV/f.u.
1.0
2.749 0.000 -0.024
0.000 3.768 0.000
-1.336 0.000 10.418
Na Fe Si
2 2 2
direct
0.322 0.250 0.148
0.678 0.750 0.852
0.551 0.250 0.598
0.449 0.750 0.402
0.952 0.250 0.407
0.048 0.750 0.593

---

MgZrPOs2 | Alexandria | GGA-PBE | optimized geometry; final energy = -28.52 eV for the cell shown; space group = No. 123; Fermi-level density of states = 5.002 states/eV/f.u.
1.0
4.472 0.000 0.000
0.000 4.894 0.000
0.000 0.000 4.472
P Mg Os Zr
1 1 2 1
direct
0.500 0.500 0.500
0.000 0.000 0.000
0.000 0.000 0.500
0.500 0.000 0.000
0.000 0.500 0.000

---

P2HSe | Alexandria | GGA-PBE | optimized geometry; final energy = -17.29 eV for the cell shown; excess energy over the best structure of this formula in the dataset = 95 meV per atom; space group = No. 6; Fermi-level density of states = 1.809 states/eV/f.u.
1.0
3.915 0.000 0.028
0.000 3.221 0.000
-0.416 0.000 5.910
P H Se
2 1 1
direct
0.406 0.000 0.136
0.805 0.500 0.185
0.808 0.500 0.428
0.324 0.000 0.761

---

Mn2CrB2 | Alexandria | GGA-PBE | optimized geometry; final energy = -86.00 eV for the cell shown; space group = No. 127; Fermi-level density of states = 4.634 states/eV/f.u.
1.0
-3.776 -1.425 3.912
-1.301 -4.612 -2.937
1.922 -1.399 1.345
Cr B Mn
2 4 4
direct
0.000 0.000 0.000
0.500 0.500 0.000
0.380 0.880 0.000
0.880 0.620 0.000
0.620 0.120 0.000
0.120 0.380 0.000
0.169 0.669 0.500
0.669 0.831 0.500
0.831 0.331 0.500
0.331 0.169 0.500

---

LiSbPb2 | Alexandria | GGA-PBE | optimized geometry; formation energy without anion corrections = -0.1262 eV per atom; final energy = -13.96 eV for the cell shown; space group = No. 44; Fermi-level density of states = 1.251 states/eV/f.u.
1.0
-5.508 -1.221 2.012
0.094 -3.657 4.742
2.599 5.190 -1.477
Pb Sb Li
2 1 1
direct
0.004 0.004 0.000
0.744 0.244 0.500
0.486 0.486 0.000
0.267 0.767 0.500

---

FeSnRh2 | Alexandria | GGA-PBE | optimized geometry; final energy = -52.45 eV for the cell shown; space group = No. 122; Fermi-level density of states = 4.607 states/eV/f.u.
1.0
3.948 0.000 0.000
0.000 3.948 0.000
1.974 1.974 8.755
Rh Sn Fe
4 2 2
direct
0.596 0.125 0.250
0.154 0.625 0.250
0.375 0.404 0.750
0.875 0.846 0.750
0.000 0.000 0.000
0.750 0.250 0.500
0.500 0.500 0.000
0.250 0.750 0.500

---

Ca2CdTc | Alexandria | GGA-PBE | optimized geometry; final energy = -13.81 eV for the cell shown; space group = No. 139; Fermi-level density of states = 2.364 states/eV/f.u.
1.0
-0.602 0.426 -5.352
-1.638 -4.942 -1.443
-2.078 3.193 3.831
Ca Tc Cd
2 1 1
direct
0.000 0.000 0.000
0.500 0.500 0.000
0.750 0.250 0.500
0.250 0.750 0.500

---

Sm2DyTl4 | Alexandria | GGA-PBE | optimized geometry; final energy = -25.12 eV for the cell shown; excess energy over the best structure of this formula in the dataset = 0 meV per atom; space group = No. 139; Fermi-level density of states = 6.891 states/eV/f.u.
1.0
-6.309 -1.755 -0.520
3.402 -1.705 -5.355
2.923 -3.055 5.028
Sm Dy Tl
2 1 4
direct
0.500 0.500 0.000
0.500 0.000 0.500
0.000 0.000 0.000
0.500 0.000 0.000
0.500 0.500 0.500
0.000 0.000 0.500
0.000 0.500 0.000

---

Pm6DyEr3 | Alexandria | GGA-PBE | optimized geometry; final energy = -91.04 eV for the cell shown; excess energy over the best structure of this formula in the dataset = 0 meV per atom; space group = No. 36; Fermi-level density of states = 16.035 states/eV/f.u.
1.0
-6.275 1.298 0.030
-2.029 -9.946 5.818
2.251 10.791 3.921
Pm Dy Er
12 2 6
direct
0.071 0.740 0.620
0.571 0.620 0.740
0.323 0.455 0.894
0.823 0.894 0.455
0.315 0.984 0.016
0.796 0.301 0.699
0.296 0.699 0.301
0.815 0.016 0.984
0.323 0.106 0.545
0.823 0.545 0.106
0.071 0.380 0.260
0.571 0.260 0.380
0.014 0.159 0.841
0.514 0.841 0.159
0.491 0.957 0.707
0.991 0.707 0.957
0.091 0.420 0.580
0.591 0.580 0.420
0.991 0.043 0.293
0.491 0.293 0.043

---

Li4GaBi5 | Alexandria | GGA-PBE | optimized geometry; final energy = -32.87 eV for the cell shown; space group = No. 123; Fermi-level density of states = 4.576 states/eV/f.u.
1.0
-2.349 2.345 0.707
-2.259 -1.695 -1.882
-5.961 -11.159 17.202
Li Ga Bi
4 1 5
direct
0.000 0.000 0.208
0.000 0.000 0.402
0.000 0.000 0.598
0.000 0.000 0.792
0.000 0.000 0.000
0.500 0.500 0.109
0.500 0.500 0.304
0.500 0.500 0.500
0.500 0.500 0.696
0.500 0.500 0.891

---

Ho4C2F | Alexandria | GGA-PBE | optimized geometry; formation energy without anion corrections = -1.0496 eV per atom; final energy = -45.98 eV for the cell shown; space group = No. 10; Fermi-level density of states = 3.750 states/eV/f.u.
1.0
-3.550 -0.106 -0.382
-0.438 -3.557 5.054
-0.365 5.988 1.736
C Ho F
2 4 1
direct
0.000 0.500 0.500
0.500 0.000 0.500
0.500 0.263 0.278
0.500 0.737 0.722
0.000 0.241 0.724
0.000 0.759 0.276
0.000 0.000 0.000

---

CeHo3Ru2 | Alexandria | GGA-PBE | optimized geometry; final energy = -80.68 eV for the cell shown; excess energy over the best structure of this formula in the dataset = 0 meV per atom; space group = No. 72; Fermi-level density of states = 5.564 states/eV/f.u.
1.0
6.697 0.000 0.000
0.000 7.076 0.000
-3.348 -3.538 6.721
Ce Ho Ru
2 6 4
direct
0.000 0.500 0.000
0.000 0.000 0.000
0.500 0.250 0.000
0.500 0.750 0.000
0.760 0.010 0.520
0.240 0.490 0.480
0.240 0.990 0.480
0.760 0.510 0.520
0.622 0.375 0.751
0.871 0.125 0.249
0.129 0.875 0.751
0.378 0.625 0.249

---

CoRhBr4 | Alexandria | GGA-PBE | optimized geometry; formation energy without anion corrections = -0.2477 eV per atom; final energy = -22.64 eV for the cell shown; excess energy over the best structure of this formula in the dataset = 0 meV per atom; space group = No. 12; Fermi-level density of states = 6.214 states/eV/f.u.
1.0
-2.091 -3.118 0.030
0.782 1.666 -7.266
4.895 -3.256 2.827
Co Rh Br
1 1 4
direct
0.500 0.000 0.500
0.000 0.000 0.000
0.392 0.783 0.050
0.108 0.215 0.437
0.608 0.217 0.950
0.892 0.785 0.563

---

Zn5Ni4Pt | Alexandria | GGA-PBE | optimized geometry; final energy = -38.49 eV for the cell shown; space group = No. 123; Fermi-level density of states = 5.084 states/eV/f.u.
1.0
-0.189 -2.739 -0.448
2.100 -0.435 1.771
-10.672 -1.280 12.342
Zn Ni Pt
5 4 1
direct
0.500 0.500 0.112
0.500 0.500 0.307
0.500 0.500 0.500
0.500 0.500 0.693
0.500 0.500 0.888
0.000 0.000 0.211
0.000 0.000 0.404
0.000 0.000 0.596
0.000 0.000 0.789
0.000 0.000 0.000

---

ZnIn2GeP | Alexandria | GGA-PBE | optimized geometry; final energy = -14.00 eV for the cell shown; space group = No. 123; Fermi-level density of states = 2.015 states/eV/f.u.
1.0
-4.024 3.230 -1.898
-2.972 -3.713 -0.017
-1.494 1.171 5.160
P Ge Zn In
1 1 1 2
direct
0.000 0.500 0.000
0.000 0.000 0.000
0.500 0.500 0.500
0.000 0.000 0.500
0.500 0.000 0.000

---

SmPu2Tl | Alexandria | GGA-PBE | optimized geometry; final energy = -35.88 eV for the cell shown; excess energy over the best structure of this formula in the dataset = 0 meV per atom; space group = No. 123; Fermi-level density of states = 11.121 states/eV/f.u.
1.0
-1.399 -0.736 -4.984
-3.789 -2.192 1.387
-2.285 3.983 0.053
Tl Sm Pu
1 1 2
direct
0.500 0.500 0.500
0.500 0.000 0.000
0.000 0.000 0.500
0.000 0.500 0.000

---

ScPSe | Alexandria | GGA-PBE | optimized geometry; formation energy without anion corrections = -0.4426 eV per atom; final energy = -16.55 eV for the cell shown; space group = No. 187; Fermi-level density of states = 2.133 states/eV/f.u.
1.0
2.231 -3.863 0.000
2.231 3.863 0.000
0.000 0.000 3.502
Sc P Se
1 1 1
direct
0.333 0.667 0.500
0.000 0.000 0.000
0.667 0.333 0.500